SrIn2S4 after structural relaxation, computed with GGA-PBEsol.

```
SrIn2S4
1.0
12.2539 0.0229 0.0000
-5.4330 10.9837 0.0000
-3.4105 -5.5033 10.4707
S In Sr
32 16 8
Direct
0.9783 0.7252 0.4360
0.4843 0.2312 0.9276
0.5363 0.9666 0.7504
0.9752 0.7283 0.9360
0.5340 0.4629 0.7500
0.0334 0.4637 0.2496
0.0339 0.9641 0.2504
0.2892 0.5423 0.5640
0.9464 0.1933 0.4276
0.7130 0.7841 0.2500
0.8067 0.0536 0.5724
0.4433 0.6964 0.9276
0.7160 0.2871 0.7500
0.2717 0.0248 0.0640
0.0341 0.4630 0.7500
0.7657 0.5188 0.5724
0.2166 0.2863 0.2504
0.7923 0.0392 0.0640
0.7137 0.7834 0.7496
0.7129 0.2840 0.2500
0.2748 0.0217 0.5640
0.2161 0.7859 0.2496
0.3036 0.5567 0.0724
0.4577 0.7108 0.4360
0.2141 0.7839 0.7504
0.7688 0.5157 0.0724
0.0359 0.9661 0.7496
0.4812 0.2343 0.4276
0.5371 0.4660 0.2500
0.5370 0.9659 0.2500
0.2159 0.2870 0.7500
0.9608 0.2077 0.9360
0.2386 0.4900 0.7264
0.5100 0.7614 0.2736
0.2696 0.0198 0.3581
0.5882 0.8385 0.8581
0.9804 0.7302 0.1419
0.0114 0.2600 0.7736
0.2698 0.0196 0.8581
0.1615 0.4118 0.1419
0.7622 0.5136 0.7736
0.0885 0.3382 0.3581
0.6618 0.9115 0.6419
0.9802 0.7304 0.6419
0.7400 0.9886 0.2264
0.4878 0.2364 0.7264
0.7636 0.5122 0.2736
0.4864 0.2378 0.2264
0.7531 0.2469 0.0000
0.4969 0.5031 0.5000
0.2500 0.7500 0.5000
0.0000 0.0000 0.0000
0.0031 0.9969 0.5000
0.2469 0.7531 0.0000
0.7500 0.2500 0.5000
0.5000 0.5000 0.0000
```

V: 176.3 Å³/f.u.
E_tot: -4.69 eV per atom
E_form (uncorrected): -1.0730 eV/atom


SrIn3S after structural relaxation, computed with GGA-PBEsol.

```
SrIn3S
1.0
5.9629 0.0000 0.0000
0.0000 5.9629 0.0000
0.0000 0.0000 5.9629
Sr In S
1 3 1
Direct
0.0000 0.0000 0.0000
0.0000 0.5000 0.0000
0.0000 0.0000 0.5000
0.5000 0.0000 0.0000
0.5000 0.5000 0.5000
```

V: 212.0 Å³/f.u.
E_tot: -2.04 eV per atom
E_form (uncorrected): 0.9967 eV/atom


Question: The highest E_tot belongs to which entry?
Answer: SrIn3S


Question: Look up the V of the second one.
Answer: 212.0 Å³/f.u.